{"formula": "P2WSeO", "functional": "PBE+U", "state": "optimized geometry", "lattice": [[4.901, 0.000, 0.000], [0.000, 4.901, 0.000], [0.000, 0.000, 3.818]], "species": ["P", "P", "W", "Se", "O"], "frac_coords": [[0.000, 0.500, 0.000], [0.500, 0.000, 0.000], [0.000, 0.000, 0.000], [0.500, 0.500, 0.500], [0.000, 0.000, 0.500]], "dft_energy_ha_per_atom": -0.1934, "crystal_system": "tetragonal", "rho_g_cm3": 6.17, "volume_a3_per_cell": 92, "spacegroup": "P4/mmm (123)", "de_polymorph_ev_per_atom": 0.000}